## AcMgHgPd (PBE)

Data for AcMgHgPd after structural relaxation.

Output
SG: No. 8
Magnetic moment, μB per formula unit: 0.0
Offset from the most stable computed form, eV/f.u.: 0.000
N(E_F), states/eV per cell: 4.2

Unit cell a=8.3002 b=4.7953 c=5.8782 alpha=90.00 beta=118.14 gamma=90.00
Sites, in units of the cell vectors:
Ac 0.0000 0.0000 0.0000
Ac 0.5000 0.5000 0.0000
Mg 0.4841 0.0000 0.4526
Mg 0.9841 0.5000 0.4526
Hg 0.2123 0.0000 0.6365
Hg 0.7123 0.5000 0.6365
Pd 0.2925 0.5000 0.3778
Pd 0.7925 0.0000 0.3778